1.
Computed, not measured: crystalline CdRu2Pb at its relaxed geometry at the PBE level of DFT.

Cell: 4.392 5.564 5.564 Å, 33.83 90.00 90.00°
Fractional coordinates of all 4 atoms:
Cd: 0.000 0.000 0.000
Ru: 0.000 0.281 0.281
Ru: 0.500 0.395 0.395
Pb: 0.500 0.667 0.667

Properties
* energy above the most stable polymorph in this dataset: 202 meV/atom
* formation enthalpy at 0 K: 1.950 eV/f.u.
* crystal system: orthorhombic
* calculated total energy: -5.31 eV/atom
* D(E_F): 4.7 states/eV/cell

***

2.
Computed, not measured: crystalline CdRu2Pb2 at its relaxed geometry at the PBE level of DFT.

Cell: 7.697 7.697 3.365 Å, 90.00 90.00 90.00°
Fractional coordinates of all 10 atoms:
Cd: 0.000 0.000 0.000
Cd: 0.500 0.500 0.000
Ru: 0.142 0.358 0.000
Ru: 0.358 0.858 0.000
Ru: 0.642 0.142 0.000
Ru: 0.858 0.642 0.000
Pb: 0.157 0.657 0.500
Pb: 0.343 0.157 0.500
Pb: 0.657 0.843 0.500
Pb: 0.843 0.343 0.500

Properties
* energy above the most stable polymorph in this dataset: 0 meV/atom
* formation enthalpy at 0 K: 1.747 eV/f.u.
* crystal system: tetragonal
* calculated total energy: -5.03 eV/atom
* D(E_F): 6.9 states/eV/cell

***

3.
Computed, not measured: crystalline CdRuPb2 at its relaxed geometry at the PBE level of DFT.

Cell: 5.040 5.040 3.544 Å, 90.00 90.00 90.20°
Fractional coordinates of all 4 atoms:
Cd: 0.000 0.000 0.000
Ru: 0.500 0.500 0.000
Pb: 0.000 0.500 0.500
Pb: 0.500 0.000 0.500

Properties
* formation enthalpy at 0 K: 1.977 eV/f.u.
* crystal system: orthorhombic
* calculated total energy: -3.91 eV/atom
* D(E_F): 3.5 states/eV/cell